Computed, not measured: Co2HgBr after structural relaxation at the PBE level of DFT.

Values from the calculation:
- total moment (μB/f.u.) = 3.4
- distance to the lowest polymorph of the same formula (meV per atom) = 415
- formation energy (no corrections) (eV per atom) = 0.757
- calculated volume (Å³/cell) = 133.6

a = 6.506 Å, b = 6.525 Å, c = 3.148 Å
α = 90.00°, β = 90.00°, γ = 90.00°
Space group Cmmm (No. 65)
One atom of each set of equivalent atoms:
Co 0.250 0.250 0.000 x4
Hg 0.000 0.000 0.500 x2
Br 0.000 0.500 0.500 x2

Computed, not measured: Tm5CuHg4 after structural relaxation at the PBE level of DFT.

Values from the calculation:
- total moment (μB/f.u.) = 0.0
- calculated volume (Å³/cell) = 239.3
- energy of formation from the pure elements (eV per formula unit) = -4.302

a = 3.603 Å, b = 3.603 Å, c = 18.432 Å
α = 90.00°, β = 90.00°, γ = 90.00°
Space group P4/mmm (No. 123)
One atom of each set of equivalent atoms:
Tm 0.000 0.000 0.000 x1
Tm 0.000 0.000 0.205 x2
Tm 0.000 0.000 0.411 x2
Cu 0.500 0.500 0.500 x1
Hg 0.500 0.500 0.102 x2
Hg 0.500 0.500 0.307 x2

Computed, not measured: PrPuCu after structural relaxation at the PBE level of DFT.

Values from the calculation:
- total moment (μB/f.u.) = 6.1
- distance to the lowest polymorph of the same formula (meV per atom) = 115
- calculated volume (Å³/cell) = 74.3
- energy of formation from the pure elements (eV per formula unit) = 0.645

a = 4.9342 Å, b = 4.9342 Å, c = 3.5243 Å
α = 90.00°, β = 90.00°, γ = 120.00°
Space group P3m1 (No. 156)
One atom of each set of equivalent atoms:
Pr 0.0000 0.0000 0.0000 x1
Pu 0.3333 0.6667 0.5708 x1
Cu 0.6667 0.3333 0.3749 x1

Computed, not measured: Mg2TeIr2 after structural relaxation at the PBE level of DFT.

Values from the calculation:
- total moment (μB/f.u.) = 0.0
- formation energy (no corrections) (eV per atom) = -0.102
- calculated volume (Å³/cell) = 177.1

a = 7.541 Å, b = 7.541 Å, c = 3.114 Å
α = 90.00°, β = 90.00°, γ = 90.00°
Space group P4/mbm (No. 127)
One atom of each set of equivalent atoms:
Mg 0.134 0.366 0.000 x4
Te 0.000 0.000 0.500 x2
Ir 0.163 0.663 0.500 x4

Computed, not measured: NaSrCdO2 after structural relaxation at the PBE level of DFT.

Values from the calculation:
- total moment (μB/f.u.) = 0.0
- formation energy (no corrections) (eV per atom) = -1.345
- calculated volume (Å³/cell) = 203.5

a = 6.149 Å, b = 5.071 Å, c = 6.573 Å
α = 90.00°, β = 96.75°, γ = 90.00°
Space group P2/c (No. 13)
One atom of each set of equivalent atoms:
Na 0.000 0.015 0.250 x2
Sr 0.500 0.123 0.750 x2
Cd 0.000 0.500 0.000 x2
O 0.251 0.158 0.022 x4

Computed, not measured: CoTeI3 after structural relaxation at the PBE level of DFT.

Values from the calculation:
- total moment (μB/f.u.) = 0.7
- distance to the lowest polymorph of the same formula (meV per atom) = 0
- formation energy (no corrections) (eV per atom) = 0.365
- calculated volume (Å³/cell) = 143.6

a = 5.237 Å, b = 5.237 Å, c = 5.237 Å
α = 90.00°, β = 90.00°, γ = 90.00°
Space group Pm-3m (No. 221)
One atom of each set of equivalent atoms:
Co 0.000 0.000 0.000 x1
Te 0.500 0.500 0.500 x1
I 0.000 0.000 0.500 x3